The following is a PBE-GGA calculation of an optimized crystal structure of Li2AcSnPt4, from Alexandria. Values from VASP.

```
&SYSTEM
  ibrav = 0, nat = 8, ntyp = 4
/
ATOMIC_SPECIES
Pt 195.08 Pt.upf
Li 6.94 Li.upf
Sn 118.71 Sn.upf
Ac 227.00 Ac.upf
CELL_PARAMETERS angstrom
4.405 0.000 0.000
2.203 3.815 0.000
2.203 1.272 9.021
ATOMIC_POSITIONS crystal
Pt 0.599 0.599 0.203
Pt 0.401 0.401 0.797
Pt 0.126 0.126 0.621
Pt 0.874 0.874 0.379
Li 0.764 0.764 0.708
Li 0.236 0.236 0.292
Sn 0.500 0.500 0.500
Ac 0.000 0.000 0.000
```

Properties
magnetic moment	0.000	μB/cell
calculated volume	152	Å³/cell
density of states at the Fermi level	0.57	states/eV/atom


The following is a PBE-GGA calculation of an optimized crystal structure of RbNdPb2, from Alexandria. Values from VASP.

```
&SYSTEM
  ibrav = 0, nat = 4, ntyp = 3
/
ATOMIC_SPECIES
Nd 144.24 Nd.upf
Pb 207.20 Pb.upf
Rb 85.47 Rb.upf
CELL_PARAMETERS angstrom
-2.156 0.518 3.144
0.917 -1.793 3.278
6.070 8.370 5.138
ATOMIC_POSITIONS crystal
Nd 0.000 0.000 0.000
Pb 0.257 0.257 0.230
Pb 0.743 0.743 0.770
Rb 0.500 0.500 0.500
```

Properties
magnetic moment	0.000	μB/cell
calculated volume	145	Å³/cell
excess energy over the best structure of this formula in the dataset	172	meV/atom
density of states at the Fermi level	0.86	states/eV/atom


| no. | energy of formation from the pure elements (eV per atom) |
| --- | --- |
| 1 | -0.6801 |
| 2 | -0.1453 |